Model P:
Crystalline CdPAu2 at its relaxed geometry. Source: Alexandria, functional PBE.

**Space-group type**: P4/mmm

Unit cell a=4.1821 b=4.1821 c=4.1821 alpha=90.00 beta=90.00 gamma=90.00
Fractional coordinates of all 4 atoms:
Cd (0.0000, 0.0000, 0.0000)
P (0.5000, 0.5000, 0.0000)
Au (0.0000, 0.5000, 0.5000)
Au (0.5000, 0.0000, 0.5000)



Model Q:
Crystalline CdPAu2 at its relaxed geometry. Source: Alexandria, functional PBE.

**Space-group type**: P4mm

Unit cell a=3.0761 b=3.0761 c=7.8276 alpha=90.00 beta=90.00 gamma=90.00
Fractional coordinates of all 4 atoms:
Cd (0.0000, 0.0000, 0.0000)
P (0.5000, 0.5000, 0.2707)
Au (0.0000, 0.0000, 0.4820)
Au (0.5000, 0.5000, 0.7455)



Of them, model P has the highest stability.



Model P:
Crystalline Cd2PAu2 at its relaxed geometry. Source: Alexandria, functional PBE.

**Space-group type**: P4/mbm

Unit cell a=6.8909 b=6.8909 c=4.2508 alpha=90.00 beta=90.00 gamma=90.00
Fractional coordinates of all 10 atoms:
Cd (0.1560, 0.3440, 0.0000)
Cd (0.3440, 0.8440, 0.0000)
Cd (0.6560, 0.1560, 0.0000)
Cd (0.8440, 0.6560, 0.0000)
P (0.0000, 0.0000, 0.5000)
P (0.5000, 0.5000, 0.5000)
Au (0.1512, 0.6512, 0.5000)
Au (0.3488, 0.1512, 0.5000)
Au (0.6512, 0.8488, 0.5000)
Au (0.8488, 0.3488, 0.5000)



Model Q:
Crystalline Cd2PAu2 at its relaxed geometry. Source: Alexandria, functional PBE.

**Space-group type**: P4/mbm

Unit cell a=8.2841 b=8.2841 c=2.9824 alpha=90.00 beta=90.00 gamma=90.00
Fractional coordinates of all 10 atoms:
Cd (0.1777, 0.3223, 0.0000)
Cd (0.3223, 0.8223, 0.0000)
Cd (0.6777, 0.1777, 0.0000)
Cd (0.8223, 0.6777, 0.0000)
P (0.0000, 0.0000, 0.0000)
P (0.5000, 0.5000, 0.0000)
Au (0.1209, 0.6209, 0.5000)
Au (0.3791, 0.1209, 0.5000)
Au (0.6209, 0.8791, 0.5000)
Au (0.8791, 0.3791, 0.5000)



Of them, model P has the highest stability.



Model P:
Crystalline CdP2AuS at its relaxed geometry. Source: Alexandria, functional PBE.

**Space-group type**: P4/mmm

Unit cell a=4.8160 b=4.8160 c=5.0628 alpha=90.00 beta=90.00 gamma=90.00
Fractional coordinates of all 5 atoms:
Cd (0.0000, 0.0000, 0.0000)
P (0.0000, 0.5000, 0.5000)
P (0.5000, 0.0000, 0.5000)
Au (0.5000, 0.5000, 0.5000)
S (0.5000, 0.5000, 0.0000)



Model Q:
Crystalline CdP2AuS at its relaxed geometry. Source: Alexandria, functional PBE.

**Space-group type**: P4/mmm

Unit cell a=4.9714 b=4.9714 c=4.9360 alpha=90.00 beta=90.00 gamma=90.00
Fractional coordinates of all 5 atoms:
Cd (0.0000, 0.0000, 0.0000)
P (0.0000, 0.5000, 0.0000)
P (0.5000, 0.0000, 0.0000)
Au (0.5000, 0.5000, 0.5000)
S (0.0000, 0.0000, 0.5000)



Of them, model P has the highest stability.



Model P:
Crystalline PaCdAu at its relaxed geometry. Source: Alexandria, functional PBE.

**Space-group type**: Fmm2

Unit cell a=8.3777 b=8.1243 c=3.0613 alpha=84.01 beta=74.68 gamma=21.31
Fractional coordinates of all 3 atoms:
Pa (0.0000, 0.0000, 0.0000)
Cd (0.6800, 0.6800, 0.3200)
Au (0.3356, 0.3356, 0.6644)



Model Q:
Crystalline PaCdAu at its relaxed geometry. Source: Alexandria, functional PBE.

**Space-group type**: I4mm

Unit cell a=6.5128 b=6.5128 c=6.5128 alpha=150.45 beta=150.45 gamma=42.28
Fractional coordinates of all 3 atoms:
Pa (0.0000, 0.0000, 0.0000)
Cd (0.3085, 0.3085, 0.0000)
Au (0.6613, 0.6613, 0.0000)



Model R:
Crystalline PaCdAu at its relaxed geometry. Source: Alexandria, functional PBE.

**Space-group type**: P-6m2

Unit cell a=4.9229 b=4.9229 c=3.1596 alpha=90.00 beta=90.00 gamma=120.00
Fractional coordinates of all 3 atoms:
Pa (0.0000, 0.0000, 0.0000)
Cd (0.3333, 0.6667, 0.5000)
Au (0.6667, 0.3333, 0.5000)



Model S:
Crystalline PaCdAu at its relaxed geometry. Source: Alexandria, functional PBE.

**Space-group type**: F-43m

Unit cell a=4.7836 b=4.7836 c=4.7836 alpha=60.00 beta=60.00 gamma=60.00
Fractional coordinates of all 3 atoms:
Pa (0.0000, 0.0000, 0.0000)
Cd (0.5000, 0.5000, 0.5000)
Au (0.2500, 0.2500, 0.2500)



Of them, model R has the highest stability.



Model P:
Crystalline PaCdAu2 at its relaxed geometry. Source: Alexandria, functional PBE.

**Space-group type**: Fm-3m

Unit cell a=4.9639 b=4.9639 c=4.9639 alpha=60.00 beta=60.00 gamma=60.00
Fractional coordinates of all 4 atoms:
Pa (0.0000, 0.0000, 0.0000)
Cd (0.5000, 0.5000, 0.5000)
Au (0.2500, 0.2500, 0.2500)
Au (0.7500, 0.7500, 0.7500)



Model Q:
Crystalline PaCdAu2 at its relaxed geometry. Source: Alexandria, functional PBE.

**Space-group type**: R-3m

Unit cell a=9.9507 b=9.9507 c=9.9507 alpha=18.36 beta=18.36 gamma=18.36
Fractional coordinates of all 4 atoms:
Pa (0.0000, 0.0000, 0.0000)
Cd (0.5000, 0.5000, 0.5000)
Au (0.2473, 0.2473, 0.2473)
Au (0.7527, 0.7527, 0.7527)



Of them, model P has the highest stability.



Model P:
Crystalline Cd3PbAu at its relaxed geometry. Source: Alexandria, functional PBE.

**Space-group type**: Pm-3m

Unit cell a=5.2719 b=5.2719 c=5.2719 alpha=90.00 beta=90.00 gamma=90.00
Fractional coordinates of all 5 atoms:
Cd (0.0000, 0.0000, 0.5000)
Cd (0.0000, 0.5000, 0.0000)
Cd (0.5000, 0.0000, 0.0000)
Pb (0.5000, 0.5000, 0.5000)
Au (0.0000, 0.0000, 0.0000)



Model Q:
Crystalline Cd3PbAu at its relaxed geometry. Source: Alexandria, functional PBE.

**Space-group type**: P6_3/mmc

Unit cell a=7.0380 b=7.0380 c=5.8965 alpha=90.00 beta=90.00 gamma=120.00
Fractional coordinates of all 10 atoms:
Cd (0.1951, 0.3901, 0.2500)
Cd (0.1951, 0.8049, 0.2500)
Cd (0.3901, 0.1951, 0.7500)
Cd (0.6099, 0.8049, 0.2500)
Cd (0.8049, 0.1951, 0.7500)
Cd (0.8049, 0.6099, 0.7500)
Pb (0.3333, 0.6667, 0.7500)
Pb (0.6667, 0.3333, 0.2500)
Au (0.0000, 0.0000, 0.0000)
Au (0.0000, 0.0000, 0.5000)



Of them, model Q has the highest stability.



Model P:
Crystalline CdPb4Au at its relaxed geometry. Source: Alexandria, functional PBE.

**Space-group type**: F-43m

Unit cell a=6.4039 b=6.4039 c=6.4039 alpha=60.00 beta=60.00 gamma=60.00
Fractional coordinates of all 6 atoms:
Cd (0.0000, 0.0000, 0.0000)
Pb (0.1254, 0.6249, 0.6249)
Pb (0.6249, 0.1254, 0.6249)
Pb (0.6249, 0.6249, 0.1254)
Pb (0.6249, 0.6249, 0.6249)
Au (0.2500, 0.2500, 0.2500)



Model Q:
Crystalline CdPb4Au at its relaxed geometry. Source: Alexandria, functional PBE.

**Space-group type**: C2/c

Unit cell a=8.2726 b=8.2726 c=6.0279 alpha=102.96 beta=102.96 gamma=112.49
Fractional coordinates of all 12 atoms:
Cd (0.1271, 0.8729, 0.7500)
Cd (0.8729, 0.1271, 0.2500)
Pb (0.1338, 0.2809, 0.8347)
Pb (0.1942, 0.5507, 0.3994)
Pb (0.2809, 0.1338, 0.3347)
Pb (0.4493, 0.8058, 0.1006)
Pb (0.5507, 0.1942, 0.8994)
Pb (0.7191, 0.8662, 0.6653)
Pb (0.8058, 0.4493, 0.6006)
Pb (0.8662, 0.7191, 0.1653)
Au (0.4849, 0.5151, 0.7500)
Au (0.5151, 0.4849, 0.2500)



Of them, model Q has the highest stability.



Model P:
Crystalline Cd4PbAu at its relaxed geometry. Source: Alexandria, functional PBE.

**Space-group type**: C2/m

Unit cell a=7.7767 b=7.7767 c=6.1599 alpha=109.05 beta=109.05 gamma=56.89
Fractional coordinates of all 12 atoms:
Cd (0.0832, 0.6828, 0.4514)
Cd (0.1970, 0.8030, 0.0000)
Cd (0.3172, 0.9168, 0.5486)
Cd (0.3208, 0.3208, 0.7578)
Cd (0.6792, 0.6792, 0.2422)
Cd (0.6828, 0.0832, 0.4514)
Cd (0.8030, 0.1970, 0.0000)
Cd (0.9168, 0.3172, 0.5486)
Pb (0.2232, 0.2232, 0.1522)
Pb (0.7768, 0.7768, 0.8478)
Au (0.4652, 0.4652, 0.2516)
Au (0.5348, 0.5348, 0.7484)



Model Q:
Crystalline Cd4PbAu at its relaxed geometry. Source: Alexandria, functional PBE.

**Space-group type**: F-43m

Unit cell a=5.8488 b=5.8488 c=5.8488 alpha=60.00 beta=60.00 gamma=60.00
Fractional coordinates of all 6 atoms:
Cd (0.1254, 0.1254, 0.1254)
Cd (0.1254, 0.1254, 0.6238)
Cd (0.1254, 0.6238, 0.1254)
Cd (0.6238, 0.1254, 0.1254)
Pb (0.7500, 0.7500, 0.7500)
Au (0.5000, 0.5000, 0.5000)



Of them, model P has the highest stability.



Model P:
Crystalline RbCd2PbAu at its relaxed geometry. Source: Alexandria, functional PBE.

**Space-group type**: Imm2

Unit cell a=7.1786 b=7.1786 c=7.1786 alpha=139.89 beta=139.66 gamma=58.19
Fractional coordinates of all 5 atoms:
Rb (0.0000, 0.0000, 0.0000)
Cd (0.3915, 0.3915, 0.0000)
Cd (0.7408, 0.2408, 0.5000)
Pb (0.2404, 0.7404, 0.5000)
Au (0.6145, 0.6145, 0.0000)



Model Q:
Crystalline RbCd2PbAu at its relaxed geometry. Source: Alexandria, functional PBE.

**Space-group type**: P4/mmm

Unit cell a=5.4452 b=5.4452 c=5.6720 alpha=90.00 beta=90.00 gamma=90.00
Fractional coordinates of all 5 atoms:
Rb (0.0000, 0.0000, 0.0000)
Cd (0.0000, 0.5000, 0.5000)
Cd (0.5000, 0.0000, 0.5000)
Pb (0.5000, 0.5000, 0.0000)
Au (0.5000, 0.5000, 0.5000)



Of them, model P has the highest stability.



Model P:
Crystalline CdPd2Au2 at its relaxed geometry. Source: Alexandria, functional PBE.

**Space-group type**: Immm

Unit cell a=5.1638 b=5.1638 c=5.1638 alpha=131.81 beta=106.01 gamma=93.30
Fractional coordinates of all 5 atoms:
Cd (0.0000, 0.0000, 0.0000)
Pd (0.2813, 0.5000, 0.7813)
Pd (0.7187, 0.5000, 0.2187)
Au (0.3026, 0.8026, 0.5000)
Au (0.6974, 0.1974, 0.5000)



Model Q:
Crystalline CdPd2Au2 at its relaxed geometry. Source: Alexandria, functional PBE.

**Space-group type**: P4/mbm

Unit cell a=7.5843 b=7.5843 c=3.2112 alpha=90.00 beta=90.00 gamma=90.00
Fractional coordinates of all 10 atoms:
Cd (0.0000, 0.0000, 0.0000)
Cd (0.5000, 0.5000, 0.0000)
Pd (0.1594, 0.3406, 0.5000)
Pd (0.3406, 0.8406, 0.5000)
Pd (0.6594, 0.1594, 0.5000)
Pd (0.8406, 0.6594, 0.5000)
Au (0.1378, 0.6378, 0.0000)
Au (0.3622, 0.1378, 0.0000)
Au (0.6378, 0.8622, 0.0000)
Au (0.8622, 0.3622, 0.0000)



Of them, model P has the highest stability.



Model P:
Crystalline CdPd2Au2 at its relaxed geometry. Source: Alexandria, functional PBE.

**Space-group type**: Cmc2_1

Unit cell a=7.3324 b=7.3324 c=5.6168 alpha=90.00 beta=90.00 gamma=144.44
Fractional coordinates of all 10 atoms:
Cd (0.1080, 0.8920, 0.5000)
Cd (0.8920, 0.1080, 0.0000)
Pd (0.1016, 0.8984, 0.9989)
Pd (0.3030, 0.6970, 0.2382)
Pd (0.6970, 0.3030, 0.7382)
Pd (0.8984, 0.1016, 0.4989)
Au (0.3044, 0.6956, 0.7308)
Au (0.4979, 0.5021, 0.2596)
Au (0.5021, 0.4979, 0.7596)
Au (0.6956, 0.3044, 0.2308)



Model Q:
Crystalline CdPd2Au2 at its relaxed geometry. Source: Alexandria, functional PBE.

**Space-group type**: P4/mbm

Unit cell a=7.1551 b=7.1551 c=3.6238 alpha=90.00 beta=90.00 gamma=90.00
Fractional coordinates of all 10 atoms:
Cd (0.0000, 0.0000, 0.0000)
Cd (0.5000, 0.5000, 0.0000)
Pd (0.1375, 0.3625, 0.0000)
Pd (0.3625, 0.8625, 0.0000)
Pd (0.6375, 0.1375, 0.0000)
Pd (0.8625, 0.6375, 0.0000)
Au (0.1590, 0.6590, 0.5000)
Au (0.3410, 0.1590, 0.5000)
Au (0.6590, 0.8410, 0.5000)
Au (0.8410, 0.3410, 0.5000)



Of them, model P has the highest stability.



Model P:
Crystalline CdPd2Au2 at its relaxed geometry. Source: Alexandria, functional PBE.

**Space-group type**: I4/mmm

Unit cell a=7.2595 b=7.2595 c=7.2595 alpha=149.60 beta=149.60 gamma=43.53
Fractional coordinates of all 5 atoms:
Cd (0.0000, 0.0000, 0.0000)
Pd (0.4027, 0.4027, 0.0000)
Pd (0.5973, 0.5973, 0.0000)
Au (0.2500, 0.7500, 0.5000)
Au (0.7500, 0.2500, 0.5000)



Model Q:
Crystalline CdPd2Au2 at its relaxed geometry. Source: Alexandria, functional PBE.

**Space-group type**: I4/mmm

Unit cell a=7.2925 b=7.2925 c=7.2925 alpha=150.08 beta=150.08 gamma=42.83
Fractional coordinates of all 5 atoms:
Cd (0.0000, 0.0000, 0.0000)
Pd (0.2500, 0.7500, 0.5000)
Pd (0.7500, 0.2500, 0.5000)
Au (0.4003, 0.4003, 0.0000)
Au (0.5997, 0.5997, 0.0000)



Of them, model P has the highest stability.